(1)
Density functional theory data (PBE) for a geometry-optimized PmLuOsPd structure.

Properties
energy of formation from the pure elements: -0.4863 eV per atom
total magnetization: 0.0 μB/cell
Fermi-level density of states: 2.04 states/eV/cell
crystal system: cubic

```
PmLuOsPd
1.0
4.893 0.000 0.000
2.447 4.238 0.000
2.447 1.413 3.995
Pd Lu Pm Os
1 1 1 1
Direct
0.250 0.250 0.250 Pd
0.000 0.000 0.000 Lu
0.500 0.500 0.500 Pm
0.750 0.750 0.750 Os
```


(2)
Density functional theory data (PBE) for a geometry-optimized BeAlV3 structure.

Properties
energy of formation from the pure elements: 0.1399 eV per atom
total magnetization: 0.0 μB/cell
Fermi-level density of states: 7.15 states/eV/cell
crystal system: orthorhombic

```
BeAlV3
1.0
4.704 0.000 0.000
0.000 5.694 0.000
0.000 -2.847 4.966
Be V Al
2 6 2
Direct
0.500 0.000 0.000 Be
0.000 0.000 0.000 Be
0.250 0.850 0.229 V
0.750 0.621 0.771 V
0.750 0.150 0.771 V
0.250 0.379 0.229 V
0.250 0.816 0.631 V
0.750 0.184 0.369 V
0.250 0.352 0.705 Al
0.750 0.648 0.295 Al
```


(3)
Density functional theory data (PBE) for a geometry-optimized SbAsRhSe2 structure.

Properties
total magnetization: 0.0 μB/cell
Fermi-level density of states: 3.46 states/eV/cell
crystal system: tetragonal
formation energy from raw total energies: 300.9 meV/atom

```
SbAsRhSe2
1.0
-2.487 4.094 -1.616
-4.398 -2.239 1.098
0.158 1.769 4.237
Rh Se Sb As
1 2 1 1
Direct
0.000 0.000 0.000 Rh
0.500 0.000 0.000 Se
0.000 0.500 0.000 Se
0.500 0.500 0.500 Sb
0.000 0.000 0.500 As
```


(4)
Density functional theory data (PBE) for a geometry-optimized SrTcSe3 structure.

Properties
total magnetization: 3.1 μB/cell
Fermi-level density of states: 5.76 states/eV/cell
crystal system: cubic
formation energy from raw total energies: -581.1 meV/atom

```
SrTcSe3
1.0
-2.162 -0.250 -4.561
-3.721 -2.831 1.919
-2.650 4.179 1.027
Tc Se Sr
1 3 1
Direct
0.000 0.000 0.000 Tc
0.000 0.000 0.500 Se
0.500 0.000 0.000 Se
0.000 0.500 0.000 Se
0.500 0.500 0.500 Sr
```


(5)
Density functional theory data (PBE) for a geometry-optimized Sm3Ag4 structure.

Properties
energy of formation from the pure elements: -0.0681 eV per atom
total magnetization: 0.0 μB/cell
Fermi-level density of states: 5.40 states/eV/cell
crystal system: trigonal

```
Sm3Ag4
1.0
-0.665 -4.747 -1.827
3.541 -2.087 -3.069
4.964 -5.448 5.146
Ag Sm
4 3
Direct
0.368 0.368 0.896 Ag
0.632 0.632 0.104 Ag
0.879 0.879 0.363 Ag
0.121 0.121 0.637 Ag
0.758 0.758 0.727 Sm
0.000 0.000 0.000 Sm
0.242 0.242 0.273 Sm
```


(6)
Density functional theory data (PBE) for a geometry-optimized Mg2TlTe structure.

Properties
total magnetization: 0.0 μB/cell
Fermi-level density of states: 3.15 states/eV/cell
crystal system: tetragonal
formation energy from raw total energies: -224.6 meV/atom

```
Mg2TlTe
1.0
-1.632 6.131 4.997
2.318 -4.508 6.287
3.561 1.962 5.281
Mg Tl Te
4 2 2
Direct
0.607 0.125 0.250 Mg
0.875 0.857 0.750 Mg
0.375 0.393 0.750 Mg
0.143 0.625 0.250 Mg
0.000 0.000 0.000 Tl
0.750 0.250 0.500 Tl
0.250 0.750 0.500 Te
0.500 0.500 0.000 Te
```


(7)
Density functional theory data (PBE) for a geometry-optimized Ag2SnBr5 structure.

Properties
total magnetization: 0.0 μB/cell
Fermi-level density of states: 3.04 states/eV/cell
crystal system: orthorhombic
formation energy from raw total energies: -407.8 meV/atom

```
Ag2SnBr5
1.0
5.570 0.000 1.871
2.785 6.781 0.935
0.669 0.000 7.237
Br Ag Sn
5 2 1
Direct
0.209 0.785 0.798 Br
0.000 0.500 0.500 Br
0.791 0.215 0.202 Br
0.494 0.215 0.798 Br
0.506 0.785 0.202 Br
0.792 0.500 0.917 Ag
0.208 0.500 0.083 Ag
0.500 0.500 0.500 Sn
```


(8)
Density functional theory data (PBE) for a geometry-optimized Pr8Ga3Co structure.

Properties
energy of formation from the pure elements: -0.3157 eV per atom
total magnetization: 0.0 μB/cell
Fermi-level density of states: 13.96 states/eV/cell
crystal system: hexagonal

```
Pr8Ga3Co
1.0
-4.069 -1.256 -9.647
10.438 0.822 1.254
0.468 -7.044 0.720
Co Ga Pr
2 6 16
Direct
0.667 0.333 0.556 Co
0.333 0.667 0.056 Co
0.164 0.836 0.537 Ga
0.329 0.164 0.037 Ga
0.836 0.671 0.037 Ga
0.836 0.164 0.037 Ga
0.164 0.329 0.537 Ga
0.671 0.836 0.537 Ga
0.539 0.077 0.791 Pr
0.000 0.000 0.774 Pr
0.333 0.667 0.679 Pr
0.830 0.170 0.490 Pr
0.659 0.830 0.990 Pr
0.667 0.333 0.179 Pr
0.461 0.539 0.291 Pr
0.830 0.659 0.490 Pr
0.170 0.830 0.990 Pr
0.461 0.923 0.291 Pr
0.170 0.341 0.990 Pr
0.077 0.539 0.291 Pr
0.539 0.461 0.791 Pr
0.341 0.170 0.490 Pr
0.000 0.000 0.274 Pr
0.923 0.461 0.791 Pr
```


(9)
Density functional theory data (PBE) for a geometry-optimized Rb2ZnSbBr6 structure.

Properties
total magnetization: 0.0 μB/cell
Fermi-level density of states: 2.45 states/eV/cell
crystal system: tetragonal
formation energy from raw total energies: -1032.1 meV/atom

```
Rb2ZnSbBr6
1.0
-1.258 6.978 -3.540
-7.773 -0.705 1.373
-3.890 5.723 3.792
Zn Br Rb Sb
1 6 2 1
Direct
0.500 0.500 0.000 Zn
0.255 0.255 0.000 Br
0.255 0.745 0.000 Br
0.745 0.255 0.000 Br
0.259 0.259 0.482 Br
0.745 0.745 0.000 Br
0.741 0.741 0.518 Br
0.250 0.750 0.500 Rb
0.750 0.250 0.500 Rb
0.000 0.000 0.000 Sb
```


(10)
Density functional theory data (PBE) for a geometry-optimized BeTeW2 structure.

Properties
total magnetization: 0.0 μB/cell
Fermi-level density of states: 2.93 states/eV/cell
crystal system: monoclinic
formation energy from raw total energies: 908.5 meV/atom

```
BeTeW2
1.0
5.104 0.004 -0.002
-2.156 4.627 -0.002
0.589 0.924 2.786
W Te Be
2 1 1
Direct
0.000 0.000 0.000 W
0.500 0.500 0.000 W
0.000 0.500 0.500 Te
0.500 0.000 0.500 Be
```


(11)
Density functional theory data (PBE) for a geometry-optimized GdNpTc2 structure.

Properties
energy of formation from the pure elements: 0.1833 eV per atom
total magnetization: 9.1 μB/cell
Fermi-level density of states: 9.52 states/eV/cell
crystal system: cubic

```
GdNpTc2
1.0
4.800 0.000 0.000
2.400 4.157 0.000
2.400 1.386 3.919
Tc Np Gd
2 1 1
Direct
0.750 0.750 0.750 Tc
0.250 0.250 0.250 Tc
0.000 0.000 0.000 Np
0.500 0.500 0.500 Gd
```


(12)
Density functional theory data (PBE) for a geometry-optimized Na2Cd2H4Rh structure.

Properties
DFT total energy: -25.7 eV/cell
total magnetization: 0.0 μB/cell
Fermi-level density of states: 1.19 states/eV/cell
crystal system: tetragonal

```
Na2Cd2H4Rh
1.0
-0.251 4.767 -3.254
1.977 -4.812 -2.512
-5.018 -2.333 1.658
H Na Rh Cd
4 2 1 2
Direct
0.000 0.802 0.198 H
0.000 0.198 0.802 H
0.397 0.198 0.198 H
0.603 0.802 0.802 H
0.500 0.750 0.250 Na
0.500 0.250 0.750 Na
0.000 0.000 0.000 Rh
0.000 0.671 0.671 Cd
0.000 0.329 0.329 Cd
```